8
Lattice="1.862 -5.942 0.000 1.862 5.942 0.000 0.000 0.000 9.688" Properties=species:S:1:pos:R:3 comment="Sm2DyCo, relaxed, DFT PBE" dos_at_fermi_per_ev_atom=1.328 e_form_ev_per_atom=-0.089 energy_ev_per_fu=-21.50 total_magnetization_mub_per_fu=0.00 pbc="T T T"
Sm 1.862 4.302 5.546
Sm 1.862 4.302 8.985
Sm 1.862 -4.302 0.702
Sm 1.862 -4.302 4.141
Dy 1.862 1.067 7.266
Dy 1.862 -1.067 2.422
Co 1.862 2.844 2.422
Co 1.862 -2.844 7.266